First-principles (PBE) data for Pa2Al2Si after structural relaxation, as listed in Alexandria via LeMat-Bulk.

Values from the calculation:
DOS at the Fermi energy	17.42	states/eV per cell
E_form (uncorrected)	0.016	eV per atom
total DFT energy (no corrections)	-63.64	eV/cell

abc: 3.7322 3.7322 16.0379
angles: 90.00 90.00 90.00
Last column: nearest neighbours and their distance in Å.
Space group I4/mmm (No. 139)
Unique sites:
Pa 0.0000 0.0000 0.0876 [4 per cell]  1 Pa 2.81, 4 Si 2.99
Al 0.0000 0.5000 0.2500 [4 per cell]  4 Al 2.64
Si 0.0000 0.0000 0.5000 [2 per cell]  8 Pa 2.99